1.
A plane-wave DFT calculation with PBE was carried out for AsOs2Cl after structural relaxation.

a = 2.8499 Å, b = 4.2090 Å, c = 5.2283 Å
α = 90.00°, β = 90.00°, γ = 90.00°
Closest atoms and distances in Å follow each position.
Space group Pmmm (No. 47)
Symmetry-distinct sites (fractional):
As 0.0000 0.0000 0.0000 (multiplicity 1)  4 Os 2.54
Os 0.0000 0.5000 0.5000 (multiplicity 1)  4 Cl 2.54
Os 0.5000 0.5000 0.0000 (multiplicity 1)  4 As 2.54
Cl 0.5000 0.0000 0.5000 (multiplicity 1)  4 Os 2.54

Computed properties:
Formation energy (no corrections) (kJ per mole of atoms): 100
Offset from the most stable computed form (meV/atom): 756.2

2.
A plane-wave DFT calculation with PBE was carried out for CsTa3Ni after structural relaxation.

a = 4.9844 Å, b = 4.9844 Å, c = 4.9844 Å
α = 90.00°, β = 90.00°, γ = 90.00°
Closest atoms and distances in Å follow each position.
Space group Pm-3m (No. 221)
Symmetry-distinct sites (fractional):
Cs 0.0000 0.0000 0.0000 (multiplicity 1)  6 Ta 2.49
Ta 0.0000 0.0000 0.5000 (multiplicity 3)  2 Cs 2.49
Ni 0.5000 0.5000 0.5000 (multiplicity 1)  12 Ta 3.52

Computed properties:
Offset from the most stable computed form (meV/atom): 1867.1
Formation energy (eV/atom): 3.465

3.
A plane-wave DFT calculation with PBE was carried out for ReRh after structural relaxation.

a = 7.4122 Å, b = 6.5969 Å, c = 4.9562 Å
α = 90.00°, β = 90.00°, γ = 90.00°
Closest atoms and distances in Å follow each position.
Space group Cmcm (No. 63)
Symmetry-distinct sites (fractional):
Re 0.0000 0.0000 0.0000 (multiplicity 4)  4 Re 2.48-2.65, 4 Rh 2.74
Re 0.0000 0.3547 0.2500 (multiplicity 4)  8 Rh 2.59-2.84, 2 Re 2.65
Rh 0.1821 0.3086 0.7500 (multiplicity 8)  6 Re 2.59-2.84, 3 Rh 2.70-2.78

Computed properties:
Offset from the most stable computed form (meV/atom): 332.9
Formation energy (eV/atom): 0.156

4.
A plane-wave DFT calculation with PBE was carried out for CrTeOsI2 after structural relaxation.

a = 5.6639 Å, b = 5.6639 Å, c = 4.9672 Å
α = 90.00°, β = 90.00°, γ = 90.00°
Closest atoms and distances in Å follow each position.
Space group P4/mmm (No. 123)
Symmetry-distinct sites (fractional):
Cr 0.0000 0.0000 0.0000 (multiplicity 1)  8 I 3.77, 4 Te 4.00
Te 0.5000 0.5000 0.0000 (multiplicity 1)  2 Os 2.48
Os 0.5000 0.5000 0.5000 (multiplicity 1)  2 Te 2.48
I 0.0000 0.5000 0.5000 (multiplicity 2)  2 Os 2.83

Computed properties:
Formation energy (no corrections) (kJ per mole of atoms): 91
Offset from the most stable computed form (meV/atom): 0.0

5.
A plane-wave DFT calculation with PBE was carried out for Ti2Nb6Rh after structural relaxation.

a = 4.6941 Å, b = 5.3526 Å, c = 7.1822 Å
α = 111.85°, β = 109.02°, γ = 90.04°
Closest atoms and distances in Å follow each position.
Space group P-1 (No. 2)
Symmetry-distinct sites (fractional):
Ti 0.1086 0.0363 0.2175 (multiplicity 2)  1 Rh 2.66, 6 Nb 2.82-2.91, 1 Ti 2.82
Nb 0.2232 0.6155 0.4462 (multiplicity 2)  6 Nb 2.73-2.88, 1 Rh 2.84, 1 Ti 2.87
Nb 0.3345 0.1663 0.6690 (multiplicity 2)  5 Nb 2.73-2.87, 3 Ti 2.82-2.86
Nb 0.4468 0.7262 0.8933 (multiplicity 2)  4 Nb 2.71-2.85, 2 Rh 2.86, 2 Ti 2.90-2.91
Rh 0.0000 0.5000 0.0000 (multiplicity 1)  2 Ti 2.66, 6 Nb 2.84-2.86

Computed properties:
Formation energy (eV/atom): -0.156

6.
A plane-wave DFT calculation with PBE was carried out for PtRhF3 after structural relaxation.

a = 4.2947 Å, b = 4.2947 Å, c = 4.2947 Å
α = 90.00°, β = 90.00°, γ = 90.00°
Closest atoms and distances in Å follow each position.
Space group Pm-3m (No. 221)
Symmetry-distinct sites (fractional):
Pt 0.0000 0.0000 0.0000 (multiplicity 1)  6 F 2.15
Rh 0.5000 0.5000 0.5000 (multiplicity 1)  12 F 3.04
F 0.0000 0.0000 0.5000 (multiplicity 3)  2 Pt 2.15

Computed properties:
Formation energy (no corrections) (kJ per mole of atoms): -11